Entry 1:
Ti2Re6MoW2 | PBE-GGA | optimized geometry Values from VASP.

Properties
Symmetry: R-3m
Energy relative to the elements in eV/atom: 0.561

```
&SYSTEM
  ibrav = 0, nat = 11, ntyp = 4
/
ATOMIC_SPECIES
Re 186.21 Re.upf
Mo 95.94 Mo.upf
W 183.84 W.upf
Ti 47.87 Ti.upf
ATOMIC_POSITIONS crystal
Re 0.417 0.910 0.763
Re 0.910 0.910 0.763
Re 0.910 0.417 0.763
Re 0.090 0.090 0.237
Re 0.583 0.090 0.237
Re 0.090 0.583 0.237
Mo 0.000 0.000 0.000
W 0.452 0.452 0.644
W 0.548 0.548 0.356
Ti 0.832 0.832 0.504
Ti 0.168 0.168 0.496
CELL_PARAMETERS angstrom
-4.556 2.007 -1.361
-3.747 0.511 3.512
0.272 9.123 2.755
```

Entry 2:
Ho3Cd2Hg | PBE-GGA | optimized geometry Values from VASP.

Properties
Symmetry: P4/mmm
Energy relative to the elements in eV/atom: -0.373

```
&SYSTEM
  ibrav = 0, nat = 6, ntyp = 3
/
ATOMIC_SPECIES
Hg 200.59 Hg.upf
Cd 112.41 Cd.upf
Ho 164.93 Ho.upf
ATOMIC_POSITIONS crystal
Hg 0.500 0.500 0.500
Cd 0.500 0.500 0.834
Cd 0.500 0.500 0.166
Ho 0.000 0.000 0.664
Ho 0.000 0.000 0.336
Ho 0.000 0.000 0.000
CELL_PARAMETERS angstrom
-2.788 -2.467 -0.128
1.946 -2.074 -2.405
4.550 -5.584 8.497
```

Entry 3:
SiSb2Cl | PBE-GGA | optimized geometry Values from VASP.

Properties
Symmetry: P4/mmm
Energy above the most stable polymorph in this dataset in meV/atom: 400
Energy relative to the elements, uncorrected in eV per atom: 0.43

```
&SYSTEM
  ibrav = 0, nat = 4, ntyp = 3
/
ATOMIC_SPECIES
Cl 35.45 Cl.upf
Si 28.09 Si.upf
Sb 121.76 Sb.upf
ATOMIC_POSITIONS crystal
Cl 0.500 0.000 0.500
Si 0.500 0.500 0.000
Sb 0.000 0.500 0.500
Sb 0.000 0.000 0.000
CELL_PARAMETERS angstrom
5.664 0.000 0.000
0.000 4.208 0.000
0.000 0.000 4.208
```

Entry 4:
Dy2Y3In2 | PBE-GGA | optimized geometry Values from VASP.

Properties
Symmetry: Cmmm
Energy relative to the elements in eV/atom: -0.174
Energy above the most stable polymorph in this dataset in meV/atom: 109

```
&SYSTEM
  ibrav = 0, nat = 7, ntyp = 3
/
ATOMIC_SPECIES
Y 88.91 Y.upf
Dy 162.50 Dy.upf
In 114.82 In.upf
ATOMIC_POSITIONS crystal
Y 0.858 0.000 0.284
Y 0.142 0.000 0.716
Y 0.000 0.000 0.000
Dy 0.715 0.500 0.571
Dy 0.285 0.500 0.429
In 0.572 0.500 0.857
In 0.428 0.500 0.143
CELL_PARAMETERS angstrom
-1.470 -4.339 -1.772
2.618 0.030 -2.244
6.116 -7.724 7.031
```

Entry 5:
TmSnIr | PBE-GGA | optimized geometry Values from VASP.

Properties
Symmetry: I4mm
Energy relative to the elements in eV/atom: -0.551

```
&SYSTEM
  ibrav = 0, nat = 3, ntyp = 3
/
ATOMIC_SPECIES
Sn 118.71 Sn.upf
Tm 168.93 Tm.upf
Ir 192.22 Ir.upf
ATOMIC_POSITIONS crystal
Sn 0.595 0.595 0.191
Tm 0.302 0.302 0.603
Ir 0.953 0.953 0.906
CELL_PARAMETERS angstrom
3.279 0.000 0.000
0.000 3.279 0.000
-1.640 -1.640 5.806
```

Entry 6:
Ga3AsPt | PBE-GGA | optimized geometry Values from VASP.

Properties
Symmetry: Pm-3m
Energy relative to the elements in eV/atom: 0.587
Energy above the most stable polymorph in this dataset in meV/atom: 606

```
&SYSTEM
  ibrav = 0, nat = 5, ntyp = 3
/
ATOMIC_SPECIES
Ga 69.72 Ga.upf
Pt 195.08 Pt.upf
As 74.92 As.upf
ATOMIC_POSITIONS crystal
Ga 0.000 0.000 0.500
Ga 0.500 0.000 0.000
Ga 0.000 0.500 0.000
Pt 0.500 0.500 0.500
As 0.000 0.000 0.000
CELL_PARAMETERS angstrom
-3.059 -3.621 -1.128
2.279 -0.597 -4.265
3.031 -3.205 2.069
```

no.,final energy (eV/atom)
1,-11.004
2,-3.017
3,-3.445
4,-5.042
5,-6.330
6,-3.367